Record 1
Re2HgSb: relaxed, PBE-GGA.

Results
The calculation puts the uncorrected formation energy at 1.39 eV per formula unit. As for the density of states at the Fermi level: 3.5 states/eV/cell. Its energy above the most stable polymorph in this dataset is 0 meV/atom. For the magnetization, the calculation gives 0.01 μB per cell.

Geometry as CIF:
```
data_Re2HgSb
_space_group_name_H-M_alt 'P 4 m m'
_space_group_IT_number 99
_space_group_name_Hall 'P 4 -2'
_cell_length_a 3.031
_cell_length_b 3.031
_cell_length_c 8.923
_cell_angle_alpha 90.00
_cell_angle_beta 90.00
_cell_angle_gamma 90.00
loop_
_atom_site_label
_atom_site_fract_x
_atom_site_fract_y
_atom_site_fract_z
Re1 0.000 0.000 0.000
Re2 0.500 0.500 0.169
Hg1 0.500 0.500 0.764
Sb1 0.000 0.000 0.395
```

=====

Record 2
K2Hg2Au: relaxed, PBE-GGA.

Results
The energy of formation is -0.231 eV/atom. As for the density of states at the Fermi level: 5.7 states/eV/cell. Its energy above the most stable polymorph in this dataset is 50 meV/atom. For the magnetization, the calculation gives 0.00 μB per cell.

Geometry as CIF:
```
data_K2Hg2Au
_space_group_name_H-M_alt 'I 41/a m d'
_space_group_IT_number 141
_cell_length_a 5.011
_cell_length_b 5.011
_cell_length_c 28.745
_cell_angle_alpha 90.00
_cell_angle_beta 90.00
_cell_angle_gamma 90.00
loop_
_space_group_symop_operation_xyz
'x,y,z'
'-x,-y,-z'
'-y+1/4,x+3/4,z+1/4'
'y+1/4,-x+3/4,-z+1/4'
'-x+1/2,-y,z+1/2'
'x+1/2,y,-z+1/2'
'y+1/4,-x+1/4,z+3/4'
'-y+1/4,x+1/4,-z+3/4'
'x,-y,-z'
'-x,y,z'
'-y+1/4,-x+1/4,-z+3/4'
'y+1/4,x+1/4,z+3/4'
'-x+1/2,y,-z+1/2'
'x+1/2,-y,z+1/2'
'y+1/4,x+3/4,-z+1/4'
'-y+1/4,-x+3/4,z+1/4'
'x+1/2,y+1/2,z+1/2'
'-x+1/2,-y+1/2,-z+1/2'
'-y+3/4,x+1/4,z+3/4'
'y+3/4,-x+1/4,-z+3/4'
'-x,-y+1/2,z'
'x,y+1/2,-z'
'y+3/4,-x+3/4,z+1/4'
'-y+3/4,x+3/4,-z+1/4'
'x+1/2,-y+1/2,-z+1/2'
'-x+1/2,y+1/2,z+1/2'
'-y+3/4,-x+3/4,-z+1/4'
'y+3/4,x+3/4,z+1/4'
'-x,y+1/2,-z'
'x,-y+1/2,z'
'y+3/4,x+1/4,-z+3/4'
'-y+3/4,-x+1/4,z+3/4'
loop_
_atom_site_label
_atom_site_fract_x
_atom_site_fract_y
_atom_site_fract_z
K1 0.000 0.250 0.053
Hg1 0.000 0.250 0.183
Au1 0.000 0.250 0.375
```

=====

Record 3
PAuCl2F: relaxed, PBE-GGA.

Results
The calculation puts the uncorrected formation energy at 1.96 eV per formula unit. As for the density of states at the Fermi level: 6.1 states/eV/cell. Its energy above the most stable polymorph in this dataset is 120 meV/atom. For the magnetization, the calculation gives 0.89 μB per cell.

Geometry as CIF:
```
data_PAuCl2F
_space_group_name_H-M_alt 'P 4/m m m'
_space_group_IT_number 123
_space_group_name_Hall '-P 4 2'
_cell_length_a 4.933
_cell_length_b 4.933
_cell_length_c 4.900
_cell_angle_alpha 90.00
_cell_angle_beta 90.00
_cell_angle_gamma 90.00
loop_
_atom_site_label
_atom_site_fract_x
_atom_site_fract_y
_atom_site_fract_z
P1 0.000 0.000 0.000
Au1 0.000 0.000 0.500
Cl1 0.000 0.500 0.500
F1 0.500 0.500 0.000
```

=====

Record 4
CaTcP: relaxed, PBE-GGA.

Results
The energy of formation is -0.504 eV/atom. As for the density of states at the Fermi level: 1.9 states/eV/cell. Its energy above the most stable polymorph in this dataset is 184 meV/atom. For the magnetization, the calculation gives 0.00 μB per cell.

Geometry as CIF:
```
data_CaTcP
_space_group_name_H-M_alt 'I 4 m m'
_space_group_IT_number 107
_space_group_name_Hall 'I 4 -2'
_cell_length_a 3.192
_cell_length_b 3.192
_cell_length_c 10.577
_cell_angle_alpha 90.00
_cell_angle_beta 90.00
_cell_angle_gamma 90.00
loop_
_atom_site_label
_atom_site_fract_x
_atom_site_fract_y
_atom_site_fract_z
Ca1 0.000 0.000 0.000
Tc1 0.000 0.000 0.710
P1 0.000 0.000 0.295
```